1.
Density functional theory data (PBE) for a relaxed structure of NbCrIn2W.

Unit cell a=4.9492 b=4.4258 c=4.9492 alpha=90.00 beta=90.00 gamma=90.00
Element x y z (fractional)
Cr 0.0000 0.0000 0.0000
Nb 0.0000 0.5000 0.0000
W 0.5000 0.5000 0.5000
In 0.0000 0.0000 0.5000
In 0.5000 0.0000 0.0000

## Properties
**DFT formation energy**: 1427 meV/atom
**DFT total energy**: -6.198 eV/atom
**Total magnetization**: 3.44 μB per formula unit


2.
Density functional theory data (PBE) for a relaxed structure of BaLiSN2.

Unit cell a=5.2606 b=5.2606 c=6.0003 alpha=90.00 beta=90.00 gamma=90.00
Element x y z (fractional)
S 0.0000 0.0000 0.5000
Li 0.5000 0.5000 0.5000
Ba 0.0000 0.0000 0.0000
N 0.0000 0.5000 0.0000
N 0.5000 0.0000 0.0000

## Properties
**DFT total energy**: -3.767 eV/atom
**Polymorph energy (0 for the lowest one)**: 583.3 meV/atom
**Formation energy (no corrections)**: 5.8 eV/f.u.
**Total magnetization**: 4.63 μB per formula unit